Below is an optimized crystal structure of Pm9Nd2Er, with properties calculated at the PBE-GGA level.

energy above the lowest structure with this stoichiometry: 0.032 eV per atom
crystal system: hexagonal
E: -4.6894 eV/atom
ΔE_f: 1.1 kcal/mol of atoms
theoretical density: 7.17 Mg/m³
calculated volume: 408 Å³/cell

Cell: 3.5547 11.5071 11.5071 Å, 120.00 90.00 90.00°
Last column: nearest neighbours and their distance in Å.
Atoms (fractional coordinates):
Pm: 0.0000 0.0000 0.5000  2 Nd 3.32, 2 Pm 3.55
Pm: 0.0000 0.5000 0.5000  2 Nd 3.32, 2 Pm 3.55
Pm: 0.0000 0.5000 0.0000  2 Nd 3.32, 2 Pm 3.55
Pm: 0.5000 0.3432 0.1716  8 Pm 3.42-3.73, 2 Nd 3.68
Pm: 0.5000 0.1716 0.8284  8 Pm 3.42-3.73, 2 Nd 3.68
Pm: 0.5000 0.1716 0.3432  8 Pm 3.42-3.73, 2 Nd 3.68
Pm: 0.5000 0.8284 0.6568  8 Pm 3.42-3.73, 2 Nd 3.68
Pm: 0.5000 0.8284 0.1716  8 Pm 3.42-3.73, 2 Nd 3.68
Pm: 0.5000 0.6568 0.8284  8 Pm 3.42-3.73, 2 Nd 3.68
Nd: 0.0000 0.3333 0.6667  9 Pm 3.32-3.68, 2 Nd 3.55
Nd: 0.0000 0.6667 0.3333  9 Pm 3.32-3.68, 2 Nd 3.55
Er: 0.0000 0.0000 0.0000  2 Er 3.55, 12 Pm 3.85